Record 1
TlBi2Ir PBE relaxed; raw total energy = -4.58 eV/atom; offset from the most stable computed form = 0.0000 eV per atom; ρ = 10707 kg/m3; space group = R-3m; D(E_F) = 3.98 states/eV/cell
1.0
1.9046 1.0996 10.0526
-1.9046 1.0996 10.0526
0.0000 -2.1993 10.0526
Tl Bi Ir
1 2 1
Direct
0.0000 0.0000 0.0000
0.1115 0.1115 0.1115
0.8885 0.8885 0.8885
0.5000 0.5000 0.5000

=====

Record 2
TlBiIr3 PBE relaxed; raw total energy = -4.61 eV/atom; offset from the most stable computed form = 0.0862 eV per atom; ρ = 13264 kg/m3; space group = Pm-3m; D(E_F) = 5.44 states/eV/cell
1.0
4.9858 0.0000 0.0000
0.0000 4.9858 0.0000
0.0000 0.0000 4.9858
Tl Bi Ir
1 1 3
Direct
0.0000 0.0000 0.0000
0.5000 0.5000 0.5000
0.0000 0.0000 0.5000
0.0000 0.5000 0.0000
0.5000 0.0000 0.0000

=====

Record 3
Tl2BiIr PBE relaxed; raw total energy = -3.75 eV/atom; offset from the most stable computed form = 0.0000 eV per atom; ρ = 14029 kg/m3; space group = Fm-3m; D(E_F) = 1.67 states/eV/cell
1.0
0.0000 3.6327 3.6327
3.6327 0.0000 3.6327
3.6327 3.6327 0.0000
Tl Bi Ir
2 1 1
Direct
0.2500 0.2500 0.2500
0.7500 0.7500 0.7500
0.0000 0.0000 0.0000
0.5000 0.5000 0.5000